1.
{
  "formula": "AcInP",
  "functional": "PBE-GGA",
  "state": "relaxed",
  "polymorph_energy_ev_per_atom": 0.402,
  "delta_e_f_kj_per_mol_fu": -126,
  "total_energy_ev_per_atom": -4.52,
  "lattice_angstrom": [[3.749, 0.000, 0.000], [0.000, 3.749, 0.000], [-1.874, -1.874, 5.737]],
  "species": ["P", "In", "Ac"],
  "fractional_positions": [[0.677, 0.677, 0.354], [0.303, 0.303, 0.607], [0.020, 0.020, 0.039]]
}

2.
{
  "formula": "Ac3InP",
  "functional": "PBE-GGA",
  "state": "relaxed",
  "polymorph_energy_ev_per_atom": 0.000,
  "delta_e_f_kj_per_mol_fu": -348,
  "total_energy_ev_per_atom": -4.82,
  "lattice_angstrom": [[-0.322, 3.534, 2.450], [4.095, -4.897, 7.602], [15.593, 5.006, -5.174]],
  "species": ["Ac", "Ac", "Ac", "Ac", "Ac", "Ac", "Ac", "Ac", "Ac", "Ac", "Ac", "Ac", "P", "P", "P", "P", "In", "In", "In", "In"],
  "fractional_positions": [[0.750, 0.018, 0.608], [0.750, 0.165, 0.032], [0.250, 0.164, 0.806], [0.250, 0.482, 0.108], [0.250, 0.664, 0.694], [0.250, 0.335, 0.532], [0.750, 0.518, 0.892], [0.250, 0.982, 0.392], [0.250, 0.835, 0.968], [0.750, 0.336, 0.306], [0.750, 0.665, 0.468], [0.750, 0.836, 0.194], [0.250, 0.828, 0.547], [0.750, 0.672, 0.047], [0.250, 0.328, 0.953], [0.750, 0.172, 0.453], [0.750, 0.870, 0.805], [0.250, 0.130, 0.195], [0.250, 0.630, 0.305], [0.750, 0.370, 0.695]]
}

3.
{
  "formula": "Ac4In2P",
  "functional": "PBE-GGA",
  "state": "relaxed",
  "polymorph_energy_ev_per_atom": 0.146,
  "delta_e_f_kj_per_mol_fu": -328,
  "total_energy_ev_per_atom": -4.39,
  "lattice_angstrom": [[-5.324, 1.367, -2.014], [-1.219, -5.690, -0.640], [0.318, 1.934, 8.978]],
  "species": ["Ac", "Ac", "Ac", "Ac", "P", "In", "In"],
  "fractional_positions": [[0.182, 0.182, 0.363], [0.818, 0.818, 0.637], [0.500, 0.000, 0.000], [0.000, 0.500, 0.000], [0.000, 0.000, 0.000], [0.383, 0.383, 0.767], [0.617, 0.617, 0.233]]
}

4.
{
  "formula": "Ac2InP",
  "functional": "PBE-GGA",
  "state": "relaxed",
  "polymorph_energy_ev_per_atom": 0.369,
  "delta_e_f_kj_per_mol_fu": -186,
  "total_energy_ev_per_atom": -4.57,
  "lattice_angstrom": [[-4.223, 3.091, -1.973], [-5.272, -1.776, 0.574], [-3.457, 2.601, 3.545]],
  "species": ["Ac", "Ac", "In", "P"],
  "fractional_positions": [[0.250, 0.250, 0.250], [0.750, 0.750, 0.750], [0.500, 0.500, 0.500], [0.000, 0.000, 0.000]]
}

5.
{
  "formula": "AcInP",
  "functional": "PBE-GGA",
  "state": "relaxed",
  "polymorph_energy_ev_per_atom": 0.000,
  "delta_e_f_kj_per_mol_fu": -242,
  "total_energy_ev_per_atom": -4.92,
  "lattice_angstrom": [[5.144, 0.000, 0.000], [2.572, 4.455, 0.000], [2.572, 1.485, 8.352]],
  "species": ["P", "P", "Ac", "Ac", "In", "In"],
  "fractional_positions": [[0.718, 0.718, 0.846], [0.282, 0.282, 0.154], [0.599, 0.599, 0.202], [0.401, 0.401, 0.798], [0.176, 0.176, 0.473], [0.824, 0.824, 0.527]]
}

6.
{
  "formula": "Ac3InP2Pd9",
  "functional": "PBE-GGA",
  "state": "relaxed",
  "delta_e_f_kj_per_mol_fu": -1042,
  "total_energy_ev_per_atom": -5.56,
  "lattice_angstrom": [[-0.164, 2.366, 5.963], [1.579, -6.144, -0.972], [8.941, 2.409, -0.710]],
  "species": ["Pd", "Pd", "Pd", "Pd", "Pd", "Pd", "Pd", "Pd", "Pd", "P", "P", "Ac", "Ac", "Ac", "In"],
  "fractional_positions": [[0.154, 0.846, 0.278], [0.846, 0.692, 0.722], [0.154, 0.308, 0.278], [0.500, 0.000, 0.000], [0.692, 0.846, 0.278], [0.308, 0.154, 0.722], [0.846, 0.154, 0.722], [0.500, 0.500, 0.000], [0.000, 0.500, 0.000], [0.667, 0.333, 0.841], [0.333, 0.667, 0.159], [0.000, 0.000, 0.000], [0.333, 0.667, 0.658], [0.667, 0.333, 0.342], [0.000, 0.000, 0.500]]
}

7.
{
  "formula": "AcInP2Pd4",
  "functional": "PBE-GGA",
  "state": "relaxed",
  "delta_e_f_kj_per_mol_fu": -546,
  "total_energy_ev_per_atom": -5.51,
  "lattice_angstrom": [[-2.624, -2.754, 2.157], [3.469, -1.698, 2.051], [-0.836, 5.416, 5.898]],
  "species": ["In", "P", "P", "Pd", "Pd", "Pd", "Pd", "Ac"],
  "fractional_positions": [[0.000, 0.000, 0.000], [0.500, 0.500, 0.648], [0.500, 0.500, 0.352], [0.500, 0.000, 0.206], [0.500, 0.000, 0.794], [0.000, 0.500, 0.206], [0.000, 0.500, 0.794], [0.000, 0.000, 0.500]]
}

8.
{
  "formula": "Ac2InP3Pd4",
  "functional": "PBE-GGA",
  "state": "relaxed",
  "delta_e_f_kj_per_mol_fu": -831,
  "total_energy_ev_per_atom": -5.66,
  "lattice_angstrom": [[4.323, 0.000, 0.000], [0.000, 4.323, 0.000], [0.000, 0.000, 10.775]],
  "species": ["P", "P", "P", "Pd", "Pd", "Pd", "Pd", "Ac", "Ac", "In"],
  "fractional_positions": [[0.000, 0.500, 0.127], [0.000, 0.000, 0.500], [0.500, 0.000, 0.873], [0.000, 0.000, 0.000], [0.500, 0.500, 0.000], [0.000, 0.500, 0.351], [0.500, 0.000, 0.649], [0.500, 0.000, 0.233], [0.000, 0.500, 0.767], [0.500, 0.500, 0.500]]
}

9.
{
  "formula": "Ac3InP2Pt9",
  "functional": "PBE-GGA",
  "state": "relaxed",
  "delta_e_f_kj_per_mol_fu": -1094,
  "total_energy_ev_per_atom": -6.11,
  "lattice_angstrom": [[-5.837, -2.699, 0.335], [5.107, -3.567, -1.632], [1.470, -2.051, 9.085]],
  "species": ["Pt", "Pt", "Pt", "Pt", "Pt", "Pt", "Pt", "Pt", "Pt", "P", "P", "Ac", "Ac", "Ac", "In"],
  "fractional_positions": [[0.500, 0.500, 0.000], [0.701, 0.850, 0.275], [0.850, 0.150, 0.725], [0.000, 0.500, 0.000], [0.299, 0.150, 0.725], [0.850, 0.701, 0.725], [0.500, 0.000, 0.000], [0.150, 0.299, 0.275], [0.150, 0.850, 0.275], [0.667, 0.333, 0.832], [0.333, 0.667, 0.168], [0.667, 0.333, 0.309], [0.000, 0.000, 0.000], [0.333, 0.667, 0.691], [0.000, 0.000, 0.500]]
}

10.
{
  "formula": "Ac2InPPt6",
  "functional": "PBE-GGA",
  "state": "relaxed",
  "delta_e_f_kj_per_mol_fu": -833,
  "total_energy_ev_per_atom": -6.12,
  "lattice_angstrom": [[6.379, 0.000, 0.000], [3.189, 5.524, 0.000], [3.189, 1.841, 12.198]],
  "species": ["Ac", "Ac", "Ac", "Ac", "P", "P", "In", "In", "Pt", "Pt", "Pt", "Pt", "Pt", "Pt", "Pt", "Pt", "Pt", "Pt", "Pt", "Pt"],
  "fractional_positions": [[0.719, 0.719, 0.842], [0.888, 0.888, 0.336], [0.281, 0.281, 0.158], [0.112, 0.112, 0.664], [0.500, 0.500, 0.500], [0.000, 0.000, 0.000], [0.578, 0.578, 0.266], [0.422, 0.422, 0.734], [0.215, 0.656, 0.913], [0.338, 0.913, 0.411], [0.785, 0.785, 0.087], [0.785, 0.344, 0.087], [0.662, 0.087, 0.589], [0.344, 0.785, 0.087], [0.662, 0.662, 0.589], [0.913, 0.338, 0.411], [0.656, 0.215, 0.913], [0.215, 0.215, 0.913], [0.087, 0.662, 0.589], [0.338, 0.338, 0.411]]
}

11.
{
  "formula": "Ac3InP2Pt6",
  "functional": "PBE-GGA",
  "state": "relaxed",
  "delta_e_f_kj_per_mol_fu": -1070,
  "total_energy_ev_per_atom": -6.10,
  "lattice_angstrom": [[5.771, 0.000, 0.000], [-2.885, 4.998, 0.000], [0.000, 0.000, 10.079]],
  "species": ["Pt", "Pt", "Pt", "Pt", "Pt", "Pt", "In", "P", "P", "Ac", "Ac", "Ac"],
  "fractional_positions": [[0.166, 0.331, 0.276], [0.834, 0.166, 0.724], [0.331, 0.166, 0.724], [0.834, 0.669, 0.724], [0.669, 0.834, 0.276], [0.166, 0.834, 0.276], [0.000, 0.000, 0.500], [0.667, 0.333, 0.889], [0.333, 0.667, 0.111], [0.333, 0.667, 0.608], [0.667, 0.333, 0.392], [0.000, 0.000, 0.000]]
}

12.
{
  "formula": "Ac3InP2Rh9",
  "functional": "PBE-GGA",
  "state": "relaxed",
  "delta_e_f_kj_per_mol_fu": -789,
  "total_energy_ev_per_atom": -6.68,
  "lattice_angstrom": [[-3.684, -5.107, -2.848], [0.177, 0.717, 6.872], [-5.909, 4.435, -0.310]],
  "species": ["Ac", "Ac", "Ac", "P", "P", "Rh", "Rh", "Rh", "Rh", "Rh", "Rh", "Rh", "Rh", "Rh", "In"],
  "fractional_positions": [[0.333, 0.667, 0.668], [0.667, 0.333, 0.332], [0.000, 0.000, 0.000], [0.667, 0.333, 0.860], [0.333, 0.667, 0.140], [0.811, 0.189, 0.670], [0.378, 0.189, 0.670], [0.189, 0.378, 0.330], [0.500, 0.000, 0.000], [0.189, 0.811, 0.330], [0.500, 0.500, 0.000], [0.622, 0.811, 0.330], [0.000, 0.500, 0.000], [0.811, 0.622, 0.670], [0.000, 0.000, 0.500]]
}

13.
{
  "formula": "AcInP2Rh5",
  "functional": "PBE-GGA",
  "state": "relaxed",
  "delta_e_f_kj_per_mol_fu": -604,
  "total_energy_ev_per_atom": -6.74,
  "lattice_angstrom": [[-0.821, 1.770, -3.663], [-4.055, -0.658, 0.591], [-0.793, 8.911, 4.485]],
  "species": ["In", "Rh", "Rh", "Rh", "Rh", "Rh", "P", "P", "Ac"],
  "fractional_positions": [[0.000, 0.000, 0.000], [0.000, 0.500, 0.177], [0.500, 0.000, 0.823], [0.000, 0.500, 0.823], [0.500, 0.500, 0.500], [0.500, 0.000, 0.177], [0.500, 0.500, 0.271], [0.500, 0.500, 0.729], [0.000, 0.000, 0.500]]
}

14.
{
  "formula": "Ac2InPRh6",
  "functional": "PBE-GGA",
  "state": "relaxed",
  "delta_e_f_kj_per_mol_fu": -578,
  "total_energy_ev_per_atom": -6.65,
  "lattice_angstrom": [[-3.924, 3.806, -3.484], [-4.686, -1.886, 3.218], [3.102, 4.811, 1.763]],
  "species": ["Rh", "Rh", "Rh", "Rh", "Rh", "Rh", "In", "P", "Ac", "Ac"],
  "fractional_positions": [[0.194, 0.819, 0.638], [0.806, 0.181, 0.819], [0.806, 0.181, 0.362], [0.806, 0.638, 0.819], [0.194, 0.362, 0.181], [0.194, 0.819, 0.181], [0.500, 0.000, 0.000], [0.000, 0.000, 0.000], [0.700, 0.667, 0.333], [0.300, 0.333, 0.667]]
}

15.
{
  "formula": "AcInPRh3",
  "functional": "PBE-GGA",
  "state": "relaxed",
  "delta_e_f_kj_per_mol_fu": -391,
  "total_energy_ev_per_atom": -6.39,
  "lattice_angstrom": [[-2.233, 5.182, -1.748], [-5.444, -2.156, 0.562], [2.535, 3.425, 6.916]],
  "species": ["Ac", "Ac", "Rh", "Rh", "Rh", "Rh", "Rh", "Rh", "In", "In", "P", "P"],
  "fractional_positions": [[0.250, 0.745, 0.489], [0.750, 0.255, 0.511], [0.750, 0.782, 0.564], [0.500, 0.761, 0.000], [0.250, 0.218, 0.436], [0.500, 0.239, 0.000], [0.000, 0.239, 0.000], [0.000, 0.761, 0.000], [0.250, 0.394, 0.787], [0.750, 0.606, 0.213], [0.250, 0.068, 0.137], [0.750, 0.932, 0.863]]
}

16.
{
  "formula": "Ac2InP3Rh12",
  "functional": "PBE-GGA",
  "state": "relaxed",
  "delta_e_f_kj_per_mol_fu": -405,
  "total_energy_ev_per_atom": -6.64,
  "lattice_angstrom": [[-5.544, -4.680, -1.032], [2.312, -5.739, -3.928], [0.831, -5.816, 4.380]],
  "species": ["Rh", "Rh", "Rh", "Rh", "Rh", "Rh", "Rh", "Rh", "Rh", "Rh", "Rh", "Rh", "P", "P", "P", "Ac", "Ac", "In"],
  "fractional_positions": [[0.672, 0.672, 0.089], [0.328, 0.328, 0.911], [0.377, 0.860, 0.860], [0.672, 0.089, 0.672], [0.328, 0.911, 0.328], [0.623, 0.140, 0.140], [0.860, 0.377, 0.860], [0.140, 0.623, 0.140], [0.911, 0.328, 0.328], [0.089, 0.672, 0.672], [0.140, 0.140, 0.623], [0.860, 0.860, 0.377], [0.500, 0.000, 0.000], [0.000, 0.500, 0.000], [0.000, 0.000, 0.500], [0.605, 0.605, 0.605], [0.395, 0.395, 0.395], [0.000, 0.000, 0.000]]
}

17.
{
  "formula": "AcInP2S8",
  "functional": "PBE-GGA",
  "state": "relaxed",
  "raw_formation_energy_mev_per_atom": -680,
  "total_energy_ev_per_atom": -4.90,
  "lattice_angstrom": [[5.972, 0.000, 0.000], [-2.986, 5.172, 0.000], [0.000, 0.000, 8.942]],
  "species": ["S", "S", "S", "S", "S", "S", "S", "S", "In", "Ac", "P", "P"],
  "fractional_positions": [[0.004, 0.327, 0.701], [0.333, 0.667, 0.987], [0.677, 0.004, 0.299], [0.673, 0.677, 0.701], [0.667, 0.333, 0.013], [0.996, 0.673, 0.299], [0.323, 0.996, 0.701], [0.327, 0.323, 0.299], [0.000, 0.000, 0.500], [0.000, 0.000, 0.000], [0.667, 0.333, 0.240], [0.333, 0.667, 0.760]]
}

18.
{
  "formula": "AcPaIn",
  "functional": "PBE-GGA",
  "state": "relaxed",
  "delta_e_f_kj_per_mol_fu": 127,
  "total_energy_ev_per_atom": -5.01,
  "lattice_angstrom": [[-3.526, 1.011, -4.361], [-3.700, -1.619, -1.107], [-7.434, 8.985, 4.371]],
  "species": ["Pa", "Pa", "Ac", "Ac", "In", "In"],
  "fractional_positions": [[0.750, 0.500, 0.500], [0.250, 0.500, 0.500], [0.376, 0.000, 0.247], [0.624, 0.000, 0.753], [0.231, 0.538, 0.000], [0.769, 0.462, 0.000]]
}

19.
{
  "formula": "Ac2PaIn",
  "functional": "PBE-GGA",
  "state": "relaxed",
  "polymorph_energy_ev_per_atom": 0.292,
  "delta_e_f_kj_per_mol_fu": 152,
  "total_energy_ev_per_atom": -4.72,
  "lattice_angstrom": [[3.509, 0.000, 0.000], [1.755, 3.039, 0.000], [1.755, 1.013, 12.661]],
  "species": ["In", "Ac", "Ac", "Pa"],
  "fractional_positions": [[0.500, 0.500, 0.500], [0.910, 0.910, 0.269], [0.090, 0.090, 0.731], [0.000, 0.000, 0.000]]
}

20.
{
  "formula": "Ac2PaIn",
  "functional": "PBE-GGA",
  "state": "relaxed",
  "polymorph_energy_ev_per_atom": 0.000,
  "delta_e_f_kj_per_mol_fu": 39,
  "total_energy_ev_per_atom": -5.01,
  "lattice_angstrom": [[3.671, 0.000, 0.000], [0.000, 3.671, 0.000], [0.000, 0.000, 9.992]],
  "species": ["Pa", "In", "Ac", "Ac"],
  "fractional_positions": [[0.500, 0.500, 0.500], [0.500, 0.500, 0.000], [0.000, 0.000, 0.247], [0.000, 0.000, 0.753]]
}

21.
{
  "formula": "Ac2PaIn",
  "functional": "PBE-GGA",
  "state": "relaxed",
  "polymorph_energy_ev_per_atom": 0.060,
  "delta_e_f_kj_per_mol_fu": 63,
  "total_energy_ev_per_atom": -4.95,
  "lattice_angstrom": [[4.985, 0.000, 0.000], [0.000, 5.166, 0.000], [0.000, 0.000, 5.166]],
  "species": ["In", "Ac", "Ac", "Pa"],
  "fractional_positions": [[0.500, 0.000, 0.000], [0.000, 0.000, 0.500], [0.000, 0.500, 0.000], [0.500, 0.500, 0.500]]
}

22.
{
  "formula": "Ac2PaInPd6",
  "functional": "PBE-GGA",
  "state": "relaxed",
  "delta_e_f_kj_per_mol_fu": -233,
  "total_energy_ev_per_atom": -5.40,
  "lattice_angstrom": [[7.229, 0.000, 0.000], [0.000, 7.229, 0.000], [3.615, 3.614, 5.112]],
  "species": ["Ac", "Ac", "Pd", "Pd", "Pd", "Pd", "Pd", "Pd", "In", "Pa"],
  "fractional_positions": [[0.250, 0.750, 0.500], [0.750, 0.250, 0.500], [0.748, 0.748, 0.504], [0.748, 0.748, 0.000], [0.252, 0.252, 0.496], [0.748, 0.252, 0.000], [0.252, 0.252, 0.000], [0.252, 0.748, 0.000], [0.000, 0.000, 0.000], [0.500, 0.500, 0.000]]
}